VASP calculation (PBE) on a relaxed V2Ag2B crystal.

Results
For the total DFT energy (no corrections), the calculation gives -52.503 eV for the cell shown. The value obtained for the magnetization is 0.00 μB/atom.

abc: 5.865 5.865 4.471
angles: 90.00 90.00 90.00
Fractional coordinates of all 10 atoms:
B  0.000  0.000  0.000
B  0.500  0.500  0.000
Ag  0.322  0.822  0.000
Ag  0.822  0.678  0.000
Ag  0.678  0.178  0.000
Ag  0.178  0.322  0.000
V  0.117  0.617  0.500
V  0.617  0.883  0.500
V  0.883  0.383  0.500
V  0.383  0.117  0.500

VASP calculation (PBE) on a relaxed Ca2TbHg5 crystal.

Results
For the total DFT energy (no corrections), the calculation gives -13.715 eV for the cell shown. The value obtained for the magnetization is 0.00 μB/atom.

abc: 5.288 5.288 8.213
angles: 108.78 108.78 90.00
Fractional coordinates of all 8 atoms:
Ca  0.740  0.740  0.479
Ca  0.260  0.260  0.521
Tb  0.000  0.000  0.000
Hg  0.500  0.500  0.000
Hg  0.877  0.377  0.755
Hg  0.377  0.877  0.755
Hg  0.123  0.623  0.245
Hg  0.623  0.123  0.245

VASP calculation (PBE) on a relaxed LaIrW2 crystal.

Results
For the total DFT energy (no corrections), the calculation gives -37.259 eV for the cell shown. The value obtained for the magnetization is 0.00 μB/atom.

abc: 5.075 3.925 3.925
angles: 90.00 90.00 90.00
Fractional coordinates of all 4 atoms:
Ir  0.500  0.500  0.000
La  0.500  0.000  0.500
W  0.000  0.000  0.000
W  0.000  0.500  0.500

VASP calculation (PBE) on a relaxed AcPm7Ho4 crystal.

Results
For the total DFT energy (no corrections), the calculation gives -52.818 eV for the cell shown. The value obtained for the magnetization is 0.02 μB/atom.

abc: 6.117 9.771 8.634
angles: 61.66 69.25 71.76
Site moments in Bohr magnetons follow the coordinates.
Fractional coordinates of all 12 atoms:
Ac  0.000  0.000  0.000  0.07
Pm  0.782  0.892  0.544  0.00
Pm  0.218  0.108  0.456  0.00
Pm  0.092  0.536  0.280  0.00
Pm  0.908  0.464  0.720  0.00
Pm  0.227  0.738  0.807  0.00
Pm  0.500  0.000  0.000  0.11
Pm  0.773  0.262  0.193  0.00
Ho  0.566  0.298  0.570  0.00
Ho  0.434  0.702  0.430  0.00
Ho  0.666  0.640  0.029  0.00
Ho  0.334  0.360  0.971  0.00

VASP calculation (PBE) on a relaxed MgAg2Pb2 crystal.

Results
For the total DFT energy (no corrections), the calculation gives -29.088 eV for the cell shown. The value obtained for the magnetization is 0.00 μB/atom.

abc: 7.394 7.394 4.485
angles: 90.00 90.00 90.00
Fractional coordinates of all 10 atoms:
Pb  0.169  0.669  0.500
Pb  0.669  0.831  0.500
Pb  0.831  0.331  0.500
Pb  0.331  0.169  0.500
Mg  0.000  0.000  0.000
Mg  0.500  0.500  0.000
Ag  0.363  0.863  0.000
Ag  0.863  0.637  0.000
Ag  0.637  0.137  0.000
Ag  0.137  0.363  0.000

VASP calculation (PBE) on a relaxed SbPd5Au crystal.

Results
Its uncorrected formation energy is -0.15 eV per atom. The value obtained for the magnetization is 0.00 μB/atom.

abc: 5.485 5.485 11.148
angles: 60.79 60.79 65.27
Fractional coordinates of all 14 atoms:
Sb  0.375  0.625  0.250
Sb  0.625  0.375  0.750
Pd  0.900  0.552  0.269
Pd  0.449  0.270  0.494
Pd  0.552  0.900  0.769
Pd  0.931  0.069  0.250
Pd  0.730  0.551  0.006
Pd  0.270  0.449  0.994
Pd  0.069  0.931  0.750
Pd  0.448  0.100  0.231
Pd  0.551  0.730  0.506
Pd  0.100  0.448  0.731
Au  0.000  0.000  0.000
Au  0.000  0.000  0.500

VASP calculation (PBE) on a relaxed Nd6Mg2Au crystal.

Results
For the total DFT energy (no corrections), the calculation gives -71.491 eV for the cell shown. The value obtained for the magnetization is 0.00 μB/atom.

abc: 6.536 8.471 10.572
angles: 90.00 77.92 90.00
Fractional coordinates of all 18 atoms:
Nd  0.851  0.950  0.247
Nd  0.855  0.650  0.521
Nd  0.886  0.716  0.959
Nd  0.614  0.216  0.541
Nd  0.645  0.150  0.979
Nd  0.649  0.450  0.253
Nd  0.149  0.050  0.753
Nd  0.145  0.350  0.479
Nd  0.114  0.284  0.041
Nd  0.386  0.784  0.459
Nd  0.355  0.850  0.021
Nd  0.351  0.550  0.747
Mg  0.850  0.408  0.775
Mg  0.650  0.908  0.725
Mg  0.350  0.092  0.275
Mg  0.150  0.592  0.225
Au  0.500  0.500  0.000
Au  0.000  0.000  0.500

VASP calculation (PBE) on a relaxed RuPb2Br crystal.

Results
Its uncorrected formation energy is 0.22 eV per atom. The value obtained for the magnetization is 0.00 μB/atom.

abc: 4.169 5.626 5.625
angles: 57.07 90.00 90.00
Fractional coordinates of all 4 atoms:
Pb  0.000  0.000  0.000
Pb  0.500  0.328  0.328
Ru  0.000  0.498  0.498
Br  0.500  0.674  0.673

VASP calculation (PBE) on a relaxed TcMo2W crystal.

Results
For the total DFT energy (no corrections), the calculation gives -43.825 eV for the cell shown. The value obtained for the magnetization is 0.00 μB/atom.

abc: 4.194 3.882 3.882
angles: 90.00 90.00 90.00
Fractional coordinates of all 4 atoms:
Mo  0.000  0.000  0.000
Mo  0.000  0.500  0.500
Tc  0.500  0.500  0.000
W  0.500  0.000  0.500

VASP calculation (PBE) on a relaxed Mg2AgPd6 crystal.

Results
For the total DFT energy (no corrections), the calculation gives -39.596 eV for the cell shown. The value obtained for the magnetization is 0.00 μB/atom.

abc: 2.828 7.601 8.055
angles: 118.15 100.21 90.00
Fractional coordinates of all 9 atoms:
Mg  0.669  0.670  0.339
Mg  0.331  0.330  0.661
Ag  0.000  0.000  0.000
Pd  0.166  0.366  0.334
Pd  0.834  0.032  0.666
Pd  0.834  0.634  0.666
Pd  0.500  0.318  0.000
Pd  0.166  0.968  0.334
Pd  0.500  0.682  0.000

VASP calculation (PBE) on a relaxed Dy4CdAg3 crystal.

Results
For the total DFT energy (no corrections), the calculation gives -30.013 eV for the cell shown. The value obtained for the magnetization is 0.00 μB/atom.

abc: 3.628 4.870 11.374
angles: 90.00 90.00 90.00
Fractional coordinates of all 8 atoms:
Dy  0.500  0.500  0.359
Dy  0.000  0.500  0.844
Dy  0.000  0.000  0.155
Dy  0.500  0.000  0.644
Cd  0.500  0.500  0.077
Ag  0.000  0.500  0.578
Ag  0.000  0.000  0.424
Ag  0.500  0.000  0.920

VASP calculation (PBE) on a relaxed Dy3Y2PuTe6 crystal.

Results
Its uncorrected formation energy is -1.28 eV per atom. The value obtained for the magnetization is 0.51 μB/atom.

abc: 4.349 8.771 9.775
angles: 103.08 102.85 90.00
Site moments in Bohr magnetons follow the coordinates.
Fractional coordinates of all 12 atoms:
Dy  0.500  0.500  0.000  -0.01
Dy  0.835  0.165  0.669  0.02
Dy  0.165  0.835  0.331  0.02
Y  0.837  0.672  0.673  0.04
Y  0.163  0.328  0.327  0.04
Pu  0.500  0.000  0.000  5.59
Te  0.331  0.916  0.663  -0.01
Te  0.668  0.584  0.336  0.00
Te  0.669  0.084  0.337  -0.01
Te  0.999  0.253  0.998  -0.03
Te  0.001  0.747  0.002  -0.03
Te  0.332  0.416  0.664  0.00

Number 1: ρ 7.09 g cm⁻³. Number 2: ρ 10.09 g cm⁻³. Number 3: ρ 14.84 g cm⁻³. Number 4: ρ 7.55 g cm⁻³. Number 5: ρ 8.87 g cm⁻³. Number 6: ρ 11.38 g cm⁻³. Number 7: ρ 6.45 g cm⁻³. Number 8: ρ 8.93 g cm⁻³. Number 9: ρ 12.45 g cm⁻³. Number 10: ρ 8.83 g cm⁻³. Number 11: ρ 8.97 g cm⁻³. Number 12: ρ 7.86 g cm⁻³.